Entry 1:
Below is a relaxed GaBN crystal, with properties calculated at the PBE level.

CIF file:
```
data_GaBN
_chemical_formula_sum 'Ga4 B4 N4'
_symmetry_space_group_name_H-M 'C 1 m 1'
_symmetry_Int_Tables_number 8
_cell_length_a 4.452
_cell_length_b 2.575
_cell_length_c 14.791
_cell_angle_alpha 90.00
_cell_angle_beta 92.02
_cell_angle_gamma 90.00
loop_
_symmetry_equiv_pos_as_xyz
'x,y,z'
'x,-y,z'
'x+1/2,y+1/2,z'
'x+1/2,-y+1/2,z'
loop_
_atom_site_label
_atom_site_type_symbol
_atom_site_fract_x
_atom_site_fract_y
_atom_site_fract_z
_atom_site_occupancy
Ga1 Ga 0.000 0.000 0.000 1
Ga2 Ga 0.033 0.500 0.181 1
B1 B 0.098 0.500 0.457 1
B2 B 0.453 0.500 0.723 1
N1 N 0.120 0.500 0.723 1
N2 N 0.431 0.500 0.457 1
```

Entry 2:
Below is a relaxed BaCr3 crystal, with properties calculated at the PBE level.

CIF file:
```
data_BaCr3
_chemical_formula_sum 'Ba1 Cr3'
_symmetry_space_group_name_H-M 'P 4/m m m'
_symmetry_Int_Tables_number 123
_symmetry_space_group_name_Hall '-P 4 2'
_cell_length_a 3.210
_cell_length_b 3.210
_cell_length_c 7.533
_cell_angle_alpha 90.00
_cell_angle_beta 90.00
_cell_angle_gamma 90.00
loop_
_atom_site_label
_atom_site_type_symbol
_atom_site_fract_x
_atom_site_fract_y
_atom_site_fract_z
_atom_site_occupancy
Ba1 Ba 0.000 0.000 0.000 1
Cr1 Cr 0.000 0.000 0.500 1
Cr2 Cr 0.500 0.500 0.366 1
```

Results
* excess energy over the best structure of this formula in the dataset: 66 meV/atom

Entry 3:
Below is a relaxed Pr2Ho15Tm2 crystal, with properties calculated at the PBE level.

CIF file:
```
data_Pr2Ho15Tm2
_chemical_formula_sum 'Pr6 Ho45 Tm6'
_symmetry_space_group_name_H-M 'R -3 m'
_symmetry_Int_Tables_number 166
_symmetry_space_group_name_Hall '-R 3 2"'
_cell_length_a 11.1254
_cell_length_b 11.1254
_cell_length_c 17.5367
_cell_angle_alpha 90.00
_cell_angle_beta 90.00
_cell_angle_gamma 120.00
loop_
_atom_site_label
_atom_site_type_symbol
_atom_site_fract_x
_atom_site_fract_y
_atom_site_fract_z
_atom_site_occupancy
Pr1 Pr 0.0000 0.0000 0.1175 1
Ho1 Ho 0.0000 0.3041 0.0000 1
Ho2 Ho 0.0000 0.5000 0.5000 1
Ho3 Ho 0.0161 0.5081 0.1377 1
Tm1 Tm 0.0000 0.0000 0.3280 1
```

Entry 4:
Below is a relaxed SrZnGe2O crystal, with properties calculated at the PBE level.

CIF file:
```
data_SrZnGe2O
_chemical_formula_sum 'Sr1 Zn1 Ge2 O1'
_symmetry_space_group_name_H-M 'P 4/m m m'
_symmetry_Int_Tables_number 123
_symmetry_space_group_name_Hall '-P 4 2'
_cell_length_a 5.379
_cell_length_b 5.379
_cell_length_c 3.752
_cell_angle_alpha 90.00
_cell_angle_beta 90.00
_cell_angle_gamma 90.00
loop_
_atom_site_label
_atom_site_type_symbol
_atom_site_fract_x
_atom_site_fract_y
_atom_site_fract_z
_atom_site_occupancy
Sr1 Sr 0.000 0.000 0.000 1
Zn1 Zn 0.500 0.500 0.500 1
Ge1 Ge 0.000 0.500 0.500 1
O1 O 0.500 0.500 0.000 1
```

Entry 5:
Below is a relaxed NaH2OsBr8 crystal, with properties calculated at the PBE level.

CIF file:
```
data_NaH2OsBr8
_chemical_formula_sum 'Na1 H2 Os1 Br8'
_symmetry_space_group_name_H-M 'P -1'
_symmetry_Int_Tables_number 2
_cell_length_a 6.993
_cell_length_b 7.098
_cell_length_c 8.337
_cell_angle_alpha 88.37
_cell_angle_beta 88.58
_cell_angle_gamma 82.76
loop_
_symmetry_equiv_pos_as_xyz
'x,y,z'
'-x,-y,-z'
loop_
_atom_site_label
_atom_site_type_symbol
_atom_site_fract_x
_atom_site_fract_y
_atom_site_fract_z
_atom_site_occupancy
Na1 Na 0.000 0.000 0.000 1
H1 H 0.248 0.286 0.204 1
Os1 Os 0.000 0.000 0.500 1
Br1 Br 0.199 0.816 0.293 1
Br2 Br 0.207 0.261 0.470 1
Br3 Br 0.218 0.843 0.708 1
Br4 Br 0.272 0.297 0.028 1
```

Entry 6:
Below is a relaxed CaNd2ThP4 crystal, with properties calculated at the PBE level.

CIF file:
```
data_CaNd2ThP4
_chemical_formula_sum 'Ca1 Nd2 Th1 P4'
_symmetry_space_group_name_H-M 'P 1 2/m 1'
_symmetry_Int_Tables_number 10
_cell_length_a 7.181
_cell_length_b 4.176
_cell_length_c 7.216
_cell_angle_alpha 90.00
_cell_angle_beta 109.25
_cell_angle_gamma 90.00
loop_
_symmetry_equiv_pos_as_xyz
'x,y,z'
'-x,-y,-z'
'-x,y,-z'
'x,-y,z'
loop_
_atom_site_label
_atom_site_type_symbol
_atom_site_fract_x
_atom_site_fract_y
_atom_site_fract_z
_atom_site_occupancy
Ca1 Ca 0.000 0.000 0.000 1
Nd1 Nd 0.000 0.500 0.500 1
Nd2 Nd 0.500 0.000 0.500 1
Th1 Th 0.500 0.500 0.000 1
P1 P 0.254 0.000 0.753 1
P2 P 0.256 0.500 0.249 1
```

Entry 7:
Below is a relaxed SrLa2Mn crystal, with properties calculated at the PBE level.

CIF file:
```
data_SrLa2Mn
_chemical_formula_sum 'Sr3 La6 Mn3'
_symmetry_space_group_name_H-M 'R -3 m'
_symmetry_Int_Tables_number 166
_symmetry_space_group_name_Hall '-R 3 2"'
_cell_length_a 4.0280
_cell_length_b 4.0280
_cell_length_c 31.0567
_cell_angle_alpha 90.00
_cell_angle_beta 90.00
_cell_angle_gamma 120.00
loop_
_atom_site_label
_atom_site_type_symbol
_atom_site_fract_x
_atom_site_fract_y
_atom_site_fract_z
_atom_site_occupancy
Sr1 Sr 0.0000 0.0000 0.0000 1
La1 La 0.0000 0.0000 0.2217 1
Mn1 Mn 0.0000 0.0000 0.5000 1
```

Results
* excess energy over the best structure of this formula in the dataset: 103 meV/atom

Entry 8:
Below is a relaxed Ag4Te2Cl3 crystal, with properties calculated at the PBE level.

CIF file:
```
data_Ag4Te2Cl3
_chemical_formula_sum 'Ag16 Te8 Cl12'
_symmetry_space_group_name_H-M 'C 1 2/c 1'
_symmetry_Int_Tables_number 15
_cell_length_a 15.681
_cell_length_b 9.125
_cell_length_c 7.136
_cell_angle_alpha 90.00
_cell_angle_beta 96.31
_cell_angle_gamma 90.00
loop_
_symmetry_equiv_pos_as_xyz
'x,y,z'
'-x,-y,-z'
'-x,y,-z+1/2'
'x,-y,z+1/2'
'x+1/2,y+1/2,z'
'-x+1/2,-y+1/2,-z'
'-x+1/2,y+1/2,-z+1/2'
'x+1/2,-y+1/2,z+1/2'
loop_
_atom_site_label
_atom_site_type_symbol
_atom_site_fract_x
_atom_site_fract_y
_atom_site_fract_z
_atom_site_occupancy
Ag1 Ag 0.122 0.114 0.011 1
Ag2 Ag 0.239 0.480 0.252 1
Te1 Te 0.170 0.186 0.445 1
Cl1 Cl 0.000 0.008 0.750 1
Cl2 Cl 0.127 0.389 0.976 1
```

Results
* excess energy over the best structure of this formula in the dataset: 32 meV/atom

Entry 9:
Below is a relaxed MgAg2Cl crystal, with properties calculated at the PBE level.

CIF file:
```
data_MgAg2Cl
_chemical_formula_sum 'Mg2 Ag4 Cl2'
_symmetry_space_group_name_H-M 'C m m m'
_symmetry_Int_Tables_number 65
_symmetry_space_group_name_Hall '-C 2 2'
_cell_length_a 4.508
_cell_length_b 4.532
_cell_length_c 7.657
_cell_angle_alpha 90.00
_cell_angle_beta 90.00
_cell_angle_gamma 90.00
loop_
_atom_site_label
_atom_site_type_symbol
_atom_site_fract_x
_atom_site_fract_y
_atom_site_fract_z
_atom_site_occupancy
Mg1 Mg 0.000 0.000 0.000 1
Ag1 Ag 0.000 0.500 0.243 1
Cl1 Cl 0.000 0.000 0.500 1
```

Results
* excess energy over the best structure of this formula in the dataset: 234 meV/atom

Entry 10:
Below is a relaxed LaTiTc2 crystal, with properties calculated at the PBE level.

CIF file:
```
data_LaTiTc2
_chemical_formula_sum 'La4 Ti4 Tc8'
_symmetry_space_group_name_H-M 'I 41/a m d'
_symmetry_Int_Tables_number 141
_cell_length_a 4.844
_cell_length_b 4.844
_cell_length_c 16.909
_cell_angle_alpha 90.00
_cell_angle_beta 90.00
_cell_angle_gamma 90.00
loop_
_symmetry_equiv_pos_as_xyz
'x,y,z'
'-x,-y,-z'
'-y+1/4,x+3/4,z+1/4'
'y+1/4,-x+3/4,-z+1/4'
'-x+1/2,-y,z+1/2'
'x+1/2,y,-z+1/2'
'y+1/4,-x+1/4,z+3/4'
'-y+1/4,x+1/4,-z+3/4'
'x,-y,-z'
'-x,y,z'
'-y+1/4,-x+1/4,-z+3/4'
'y+1/4,x+1/4,z+3/4'
'-x+1/2,y,-z+1/2'
'x+1/2,-y,z+1/2'
'y+1/4,x+3/4,-z+1/4'
'-y+1/4,-x+3/4,z+1/4'
'x+1/2,y+1/2,z+1/2'
'-x+1/2,-y+1/2,-z+1/2'
'-y+3/4,x+1/4,z+3/4'
'y+3/4,-x+1/4,-z+3/4'
'-x,-y+1/2,z'
'x,y+1/2,-z'
'y+3/4,-x+3/4,z+1/4'
'-y+3/4,x+3/4,-z+1/4'
'x+1/2,-y+1/2,-z+1/2'
'-x+1/2,y+1/2,z+1/2'
'-y+3/4,-x+3/4,-z+1/4'
'y+3/4,x+3/4,z+1/4'
'-x,y+1/2,-z'
'x,-y+1/2,z'
'y+3/4,x+1/4,-z+3/4'
'-y+3/4,-x+1/4,z+3/4'
loop_
_atom_site_label
_atom_site_type_symbol
_atom_site_fract_x
_atom_site_fract_y
_atom_site_fract_z
_atom_site_occupancy
La1 La 0.000 0.250 0.375 1
Ti1 Ti 0.000 0.250 0.875 1
Tc1 Tc 0.000 0.000 0.000 1
```

Results
* excess energy over the best structure of this formula in the dataset: 447 meV/atom

Entry 11:
Below is a relaxed Sc3ZnAu crystal, with properties calculated at the PBE level.

CIF file:
```
data_Sc3ZnAu
_chemical_formula_sum 'Sc3 Zn1 Au1'
_symmetry_space_group_name_H-M 'P m -3 m'
_symmetry_Int_Tables_number 221
_symmetry_space_group_name_Hall '-P 4 2 3'
_cell_length_a 5.174
_cell_length_b 5.174
_cell_length_c 5.174
_cell_angle_alpha 90.00
_cell_angle_beta 90.00
_cell_angle_gamma 90.00
loop_
_atom_site_label
_atom_site_type_symbol
_atom_site_fract_x
_atom_site_fract_y
_atom_site_fract_z
_atom_site_occupancy
Sc1 Sc 0.000 0.000 0.500 1
Zn1 Zn 0.500 0.500 0.500 1
Au1 Au 0.000 0.000 0.000 1
```

Results
* excess energy over the best structure of this formula in the dataset: 611 meV/atom

Entry 12:
Below is a relaxed BaTe2IrI crystal, with properties calculated at the PBE level.

CIF file:
```
data_BaTe2IrI
_chemical_formula_sum 'Ba1 Te2 Ir1 I1'
_symmetry_space_group_name_H-M 'P 4/m m m'
_symmetry_Int_Tables_number 123
_symmetry_space_group_name_Hall '-P 4 2'
_cell_length_a 5.386
_cell_length_b 5.386
_cell_length_c 5.593
_cell_angle_alpha 90.00
_cell_angle_beta 90.00
_cell_angle_gamma 90.00
loop_
_atom_site_label
_atom_site_type_symbol
_atom_site_fract_x
_atom_site_fract_y
_atom_site_fract_z
_atom_site_occupancy
Ba1 Ba 0.000 0.000 0.000 1
Te1 Te 0.000 0.500 0.500 1
Ir1 Ir 0.500 0.500 0.500 1
I1 I 0.500 0.500 0.000 1
```

Results
* excess energy over the best structure of this formula in the dataset: 0 meV/atom

Number 1: final energy -6.7030 eV per atom. Number 2: final energy -6.8865 eV per atom. Number 3: final energy -4.2848 eV per atom. Number 4: final energy -3.5713 eV per atom. Number 5: final energy -3.1145 eV per atom. Number 6: final energy -6.5228 eV per atom. Number 7: final energy -4.8654 eV per atom. Number 8: final energy -2.8446 eV per atom. Number 9: final energy -2.4588 eV per atom. Number 10: final energy -7.8483 eV per atom. Number 11: final energy -4.5525 eV per atom. Number 12: final energy -4.1959 eV per atom.